Entry 1:
Computed, not measured: a relaxed Cu3Hg2Pd7 crystal at the GGA-PBE level of DFT.

Structure (POSCAR):
```
Cu3Hg2Pd7
1.0
2.296 -10.443 0.000
2.296 10.443 0.000
0.000 0.000 4.381
Cu Hg Pd
3 2 7
Cartesian
0.000 0.000 0.000
2.296 7.482 0.000
2.296 -7.482 0.000
2.296 3.135 2.190
2.296 -3.135 2.190
2.296 8.933 2.190
2.296 5.945 2.190
2.296 1.480 0.000
2.296 0.000 2.190
2.296 -1.480 0.000
2.296 -5.945 2.190
2.296 -8.933 2.190
```

Values from the calculation:
crystal system = orthorhombic
density of states at the Fermi level = 0.501 states/eV per atom
total DFT energy (no corrections) = -4.042 eV/atom
SG = No. 65
formation enthalpy at 0 K = 0.0615 eV/atom



Entry 2:
Computed, not measured: a relaxed CuHg6Pd8 crystal at the GGA-PBE level of DFT.

Structure (POSCAR):
```
CuHg6Pd8
1.0
3.887 2.244 5.282
-3.887 2.244 5.282
0.000 -4.488 5.282
Cu Hg Pd
1 6 8
Cartesian
0.000 0.000 0.000
-1.109 -1.516 6.398
-1.868 0.202 9.447
-0.759 1.718 6.398
0.759 -1.718 9.447
1.868 -0.202 6.398
1.109 1.516 9.447
-3.134 0.537 6.947
-2.032 -2.445 8.898
0.000 0.000 4.070
1.102 -2.982 6.947
-1.102 2.982 8.898
0.000 0.000 11.776
2.032 2.445 6.947
3.134 -0.537 8.898
```

Values from the calculation:
crystal system = trigonal
density of states at the Fermi level = 0.421 states/eV per atom
total DFT energy (no corrections) = -3.185 eV/atom
SG = No. 148
formation enthalpy at 0 K = -0.0213 eV/atom



Entry 3:
Computed, not measured: a relaxed Cu2HgPd crystal at the GGA-PBE level of DFT.

Structure (POSCAR):
```
Cu2HgPd
1.0
4.002 0.000 0.000
0.000 4.002 0.000
0.000 0.000 3.788
Cu Hg Pd
2 1 1
Cartesian
0.000 2.001 0.000
2.001 0.000 0.000
0.000 0.000 1.894
2.001 2.001 1.894
```

Values from the calculation:
crystal system = tetragonal
density of states at the Fermi level = 0.216 states/eV per atom
total DFT energy (no corrections) = -3.464 eV/atom
SG = No. 123
formation enthalpy at 0 K = -0.0421 eV/atom